Record 1
A plane-wave DFT calculation with PBE was carried out for crystalline BaTa2Cu at its relaxed geometry.

Offset from the most stable computed form: 0.0 kJ/mol of atoms
Total magnetic moment: 0.00 μB/f.u.
E_form: 504 meV per atom

Cell lengths 3.4236, 3.4537, 8.6769 Å; angles 66.68, 90.00, 90.00 degrees
Fractional positions:
Ba 0.0000 0.4822 0.5181
Cu 0.5000 0.6742 0.8253
Ta 0.0000 0.0050 0.9946
Ta 0.5000 0.3386 0.1620

Record 2
A plane-wave DFT calculation with PBE was carried out for crystalline Cu2SiBr at its relaxed geometry.

Formation energy without anion corrections: 0.24 eV/atom
Offset from the most stable computed form: 30.6 kJ/mol of atoms
Total magnetic moment: 0.00 μB/f.u.

Cell lengths 6.0356, 6.0356, 6.2542 Å; angles 61.15, 61.15, 90.00 degrees
Fractional positions:
Br 0.0000 0.0000 0.0000
Br 0.7500 0.2500 0.5000
Si 0.2500 0.7500 0.5000
Si 0.5000 0.5000 0.0000
Cu 0.8750 0.8443 0.7500
Cu 0.1557 0.6250 0.2500
Cu 0.3750 0.4057 0.7500
Cu 0.5943 0.1250 0.2500

Record 3
A plane-wave DFT calculation with PBE was carried out for crystalline ZrFeCo2C at its relaxed geometry.

Total magnetic moment: 0.00 μB/f.u.
E_form: -218 meV per atom

Cell lengths 3.8446, 3.8446, 3.8424 Å; angles 90.00, 90.00, 90.00 degrees
Fractional positions:
Zr 0.5000 0.5000 0.5000
C 0.0000 0.0000 0.0000
Co 0.0000 0.5000 0.0000
Co 0.5000 0.0000 0.0000
Fe 0.0000 0.0000 0.5000

Record 4
A plane-wave DFT calculation with PBE was carried out for crystalline PaI4N2 at its relaxed geometry.

Formation energy without anion corrections: 0.89 eV/atom
Total magnetic moment: 7.00 μB/f.u.

Cell lengths 5.6840, 5.6840, 10.9093 Å; angles 74.90, 74.90, 60.00 degrees
Fractional positions:
N 0.7966 0.7966 0.6101
N 0.2034 0.2034 0.3899
I 0.6847 0.6847 0.9460
I 0.9058 0.9058 0.2825
I 0.3153 0.3153 0.0540
I 0.0942 0.0942 0.7175
Pa 0.0000 0.0000 0.0000

Record 5
A plane-wave DFT calculation with PBE was carried out for crystalline Tm3BSe6 at its relaxed geometry.

Formation energy without anion corrections: -1.36 eV/atom
Total magnetic moment: 0.00 μB/f.u.

Cell lengths 6.5044, 8.7213, 8.7213 Å; angles 102.04, 90.00, 90.00 degrees
Fractional positions:
Se 0.6805 0.6264 0.7006
Se 0.2161 0.7907 0.2093
Se 0.6804 0.5872 0.1072
Se 0.1805 0.3736 0.2994
Se 0.6576 0.9477 0.0523
Se 0.1805 0.7006 0.6264
Se 0.7161 0.2093 0.7907
Se 0.1804 0.1072 0.5872
Se 0.6804 0.8928 0.4128
Se 0.6805 0.2994 0.3736
Se 0.1804 0.4128 0.8928
Se 0.1576 0.0523 0.9477
Tm 0.9894 0.0821 0.2816
Tm 0.4894 0.2816 0.0821
Tm 0.4894 0.9179 0.7184
Tm 0.9894 0.7184 0.9179
Tm 0.3754 0.4042 0.5958
Tm 0.8754 0.5958 0.4042
B 0.0357 0.1971 0.8029
B 0.5357 0.8029 0.1971

Record 6
A plane-wave DFT calculation with PBE was carried out for crystalline Ba4AsPO at its relaxed geometry.

Formation energy without anion corrections: -1.43 eV/atom
Total magnetic moment: 0.00 μB/f.u.

Cell lengths 7.3502, 7.3597, 9.4038 Å; angles 90.00, 113.01, 90.00 degrees
Fractional positions:
P 0.6157 0.7500 0.2314
P 0.3843 0.2500 0.7686
Ba 0.5000 0.0000 0.5000
Ba 0.9233 0.2500 0.8466
Ba 0.0000 0.0000 0.5000
Ba 0.4325 0.7500 0.8650
Ba 0.5675 0.2500 0.1350
Ba 0.5000 0.5000 0.5000
Ba 0.0000 0.5000 0.5000
Ba 0.0767 0.7500 0.1534
O 0.2398 0.7500 0.4795
O 0.7602 0.2500 0.5205
As 0.1140 0.2500 0.2280
As 0.8860 0.7500 0.7720

Record 7
A plane-wave DFT calculation with PBE was carried out for crystalline La7BiSe5 at its relaxed geometry.

Formation energy without anion corrections: -1.68 eV/atom
Total magnetic moment: 0.45 μB/f.u.

Cell lengths 4.3567, 7.4140, 25.6765 Å; angles 90.00, 90.00, 107.09 degrees
Fractional positions:
Se 0.0003 0.0006 0.0000
Se 0.5462 0.0924 0.1413
Se 0.2743 0.5487 0.4292
Se 0.4544 0.9089 0.8587
Se 0.7262 0.4524 0.5707
Se 0.7263 0.4525 0.9293
Se 0.4544 0.9087 0.6413
Se 0.2744 0.5487 0.0708
Se 0.0003 0.0005 0.5000
Se 0.5462 0.0923 0.3587
La 0.3635 0.7271 0.5364
La 0.0933 0.1867 0.6117
La 0.3636 0.7272 0.9636
La 0.6370 0.2740 0.4636
La 0.0934 0.1869 0.8883
La 0.4768 0.9536 0.2500
La 0.9072 0.8143 0.3882
La 0.1816 0.3632 0.1754
La 0.1816 0.3632 0.3246
La 0.6370 0.2741 0.0364
La 0.9072 0.8144 0.1118
La 0.8189 0.6379 0.6754
La 0.5238 0.0475 0.7500
La 0.8190 0.6380 0.8246
Bi 0.8040 0.6080 0.2500
Bi 0.1966 0.3931 0.7500

Record 8
A plane-wave DFT calculation with PBE was carried out for crystalline RbUCuSe3 at its relaxed geometry.

Formation energy without anion corrections: -1.03 eV/atom
Total magnetic moment: 2.00 μB/f.u.

Cell lengths 4.1314, 9.3914, 9.7788 Å; angles 110.77, 90.00, 90.00 degrees
Fractional positions:
Se 0.7500 0.4662 0.1539
Se 0.7500 0.2018 0.5364
Se 0.7500 0.8804 0.1418
Se 0.2500 0.5338 0.8461
Se 0.2500 0.7982 0.4636
Se 0.2500 0.1196 0.8582
Rb 0.2500 0.2097 0.2502
Rb 0.7500 0.7903 0.7498
U 0.7500 0.3186 0.8397
U 0.2500 0.6814 0.1603
Cu 0.7500 0.9174 0.4049
Cu 0.2500 0.0826 0.5951